No. 1
# GaMoP2O (PBE with a Hubbard U, relaxed)
data_GaMoP2O
_chemical_formula_sum 'Ga1 Mo1 P2 O1'
_cell_length_a 4.848
_cell_length_b 4.848
_cell_length_c 3.806
_cell_angle_alpha 90.00
_cell_angle_beta 90.00
_cell_angle_gamma 90.00
_space_group_name_H-M_alt 'P 4/m m m'
_space_group_IT_number 123
_space_group_name_Hall '-P 4 2'
loop_
_atom_site_label
_atom_site_type_symbol
_atom_site_fract_x
_atom_site_fract_y
_atom_site_fract_z
Ga1 Ga 0.000 0.000 0.000
Mo1 Mo 0.500 0.500 0.500
P1 P 0.000 0.500 0.500
O1 O 0.500 0.500 0.000
# D(E_F) (states/eV/atom): 0.532
# Offset from the most stable computed form (eV/f.u.): 0.000
# Calculated total energy (eV/cell): -25.7

No. 2
# Tl2VF4 (PBE with a Hubbard U, relaxed)
data_Tl2VF4
_chemical_formula_sum 'Tl4 V2 F8'
_cell_length_a 4.241
_cell_length_b 4.241
_cell_length_c 14.157
_cell_angle_alpha 90.00
_cell_angle_beta 90.00
_cell_angle_gamma 90.00
_space_group_name_H-M_alt 'I 4/m m m'
_space_group_IT_number 139
_space_group_name_Hall '-I 4 2'
loop_
_atom_site_label
_atom_site_type_symbol
_atom_site_fract_x
_atom_site_fract_y
_atom_site_fract_z
Tl1 Tl 0.000 0.000 0.150
V1 V 0.000 0.000 0.500
F1 F 0.000 0.000 0.350
F2 F 0.000 0.500 0.000
# Calculated total energy (eV/cell): -69.7